# 1
Density functional theory data (PBE-GGA) for a relaxed structure of La2Zn4CdAu3.

abc: 4.305 4.305 11.631
angles: 90.00 90.00 90.00
Fractional coordinates of all 10 atoms:
Zn 0.500 0.000 0.641
Au 0.500 0.000 0.863
La 0.000 0.500 0.760
Au 0.000 0.000 0.500
Zn 0.000 0.500 0.359
Zn 0.500 0.500 0.000
Au 0.000 0.500 0.137
La 0.500 0.000 0.240
Cd 0.500 0.500 0.500
Zn 0.000 0.000 0.000

Results
VASP energy   -30.79 eV for the cell shown

# 2
Density functional theory data (PBE-GGA) for a relaxed structure of LaZn2CdAu2.

abc: 4.589 4.589 6.966
angles: 90.00 90.00 120.00
Fractional coordinates of all 6 atoms:
Zn 0.667 0.333 0.698
Cd 0.000 0.000 0.500
Zn 0.333 0.667 0.302
Au 0.667 0.333 0.274
Au 0.333 0.667 0.726
La 0.000 0.000 0.000

Results
VASP energy   -17.84 eV for the cell shown

# 3
Density functional theory data (PBE-GGA) for a relaxed structure of La3Zn2Cd2Au4.

abc: 4.716 4.716 14.131
angles: 90.00 90.00 120.00
Fractional coordinates of all 11 atoms:
Cd 0.333 0.667 0.566
Cd 0.667 0.333 0.434
Au 0.333 0.667 0.364
La 0.000 0.000 0.737
La 0.000 0.000 0.000
Au 0.667 0.333 0.636
Au 0.667 0.333 0.128
Zn 0.667 0.333 0.863
La 0.000 0.000 0.263
Zn 0.333 0.667 0.137
Au 0.333 0.667 0.872

Results
VASP energy   -38.71 eV for the cell shown

# 4
Density functional theory data (PBE-GGA) for a relaxed structure of LaZn5CdAu2.

abc: 4.986 4.986 7.639
angles: 90.00 90.00 90.00
Fractional coordinates of all 9 atoms:
Zn 0.000 0.500 0.775
Zn 0.500 0.000 0.225
Zn 0.500 0.000 0.775
Zn 0.000 0.500 0.225
Zn 0.500 0.500 0.500
Au 0.500 0.500 0.178
Au 0.500 0.500 0.822
Cd 0.000 0.000 0.000
La 0.000 0.000 0.500

Results
VASP energy   -19.66 eV for the cell shown

Q: What is the VASP energy in the fourth record?
A: -19.66 eV for the cell shown

Q: Which of these has the highest VASP energy?
A: LaZn2CdAu2

Q: What is the VASP energy in the fourth record?
A: -19.66 eV for the cell shown